Record 1
BRuNF2 | Alexandria | PBE-GGA | optimized geometry; V = 13.14 A^3/atom; energy relative to the elements, uncorrected = 0.4348 eV per atom; electronic total energy = -25.85 eV per cell; N(E_F) = 2.62 states/eV per cell
1.0
-0.771 -3.949 -1.215
1.156 -1.393 3.793
-3.510 0.320 1.187
F Ru B N
2 1 1 1
Cartesian
-0.386 -1.974 -0.608 F
0.578 -0.697 1.897 F
0.000 0.000 0.000 Ru
-1.563 -2.511 1.882 B
-1.755 0.160 0.593 N

---

Record 2
BRuNF2 | Alexandria | PBE-GGA | optimized geometry; V = 10.50 A^3/atom; energy relative to the elements, uncorrected = -0.2625 eV per atom; electronic total energy = -29.33 eV per cell; N(E_F) = 1.70 states/eV per cell
1.0
4.401 0.000 0.000
0.000 4.401 0.000
0.000 0.000 2.710
F N B Ru
2 1 1 1
Cartesian
2.201 0.000 0.000 F
0.000 2.201 0.000 F
0.000 0.000 1.355 N
0.000 0.000 0.000 B
2.201 2.201 1.355 Ru

---

Record 3
BRuN2F | Alexandria | PBE-GGA | optimized geometry; V = 7.98 A^3/atom; energy relative to the elements, uncorrected = 0.7977 eV per atom; electronic total energy = -30.49 eV per cell; N(E_F) = 3.10 states/eV per cell
1.0
3.595 0.000 0.000
0.000 3.595 0.000
0.000 0.000 3.085
Ru N B F
1 2 1 1
Cartesian
1.798 1.798 1.543 Ru
0.000 1.798 0.000 N
1.798 0.000 0.000 N
0.000 0.000 0.000 B
0.000 0.000 1.543 F

---

Record 4
BS2NF | Alexandria | PBE-GGA | optimized geometry; V = 14.26 A^3/atom; energy relative to the elements, uncorrected = 2.3984 eV per atom; electronic total energy = -13.14 eV per cell; N(E_F) = 3.90 states/eV per cell
1.0
4.350 0.000 0.000
0.000 4.350 0.000
0.000 0.000 3.767
B S N F
1 2 1 1
Cartesian
2.175 2.175 1.883 B
0.000 2.175 0.000 S
2.175 0.000 0.000 S
0.000 0.000 1.883 N
0.000 0.000 0.000 F

---

Record 5
BS2NF | Alexandria | PBE-GGA | optimized geometry; V = 22.43 A^3/atom; energy relative to the elements, uncorrected = 0.4684 eV per atom; electronic total energy = -22.79 eV per cell; N(E_F) = 3.13 states/eV per cell
1.0
6.741 0.000 0.000
0.000 6.741 0.000
0.000 0.000 2.468
N S F B
1 2 1 1
Cartesian
0.000 0.000 1.234 N
0.000 3.371 0.000 S
3.371 0.000 0.000 S
3.371 3.371 1.234 F
0.000 0.000 0.000 B

---

Record 6
BSbN2F | Alexandria | PBE-GGA | optimized geometry; V = 9.15 A^3/atom; energy relative to the elements, uncorrected = 0.4270 eV per atom; electronic total energy = -27.19 eV per cell; N(E_F) = 1.60 states/eV per cell
1.0
-0.553 -2.969 -1.943
2.643 0.968 -2.230
2.338 -1.751 2.011
Sb N B F
1 2 1 1
Cartesian
2.214 -1.876 -1.081 Sb
-0.276 -1.485 -0.972 N
1.322 0.484 -1.115 N
0.000 0.000 0.000 B
1.169 -0.876 1.005 F

---

Record 7
BSbN2F | Alexandria | PBE-GGA | optimized geometry; V = 13.43 A^3/atom; energy relative to the elements, uncorrected = 1.3293 eV per atom; electronic total energy = -22.68 eV per cell; N(E_F) = 1.02 states/eV per cell
1.0
-2.503 3.101 -0.480
-1.312 -0.475 3.763
2.960 2.600 1.360
N F Sb B
2 1 1 1
Cartesian
-1.251 1.550 -0.240 N
-0.656 -0.238 1.882 N
1.480 1.300 0.680 F
0.000 0.000 0.000 Sb
-0.427 2.613 2.321 B

---

Record 8
ScBNF2 | Alexandria | PBE-GGA | optimized geometry; V = 10.07 A^3/atom; energy relative to the elements, uncorrected = -1.5723 eV per atom; electronic total energy = -32.94 eV per cell; N(E_F) = 0.99 states/eV per cell
1.0
-0.875 -3.491 -2.352
3.619 -1.851 1.400
-1.362 -1.074 2.100
F N B Sc
2 1 1 1
Cartesian
-0.437 -1.745 -1.176 F
1.809 -0.925 0.700 F
-0.681 -0.537 1.050 N
0.000 0.000 0.000 B
0.691 -3.207 0.574 Sc

---

Record 9
ScBNF2 | Alexandria | PBE-GGA | optimized geometry; V = 14.09 A^3/atom; energy relative to the elements, uncorrected = -0.7616 eV per atom; electronic total energy = -28.88 eV per cell; N(E_F) = 1.11 states/eV per cell
1.0
4.002 0.000 0.000
0.000 4.002 0.000
0.000 0.000 4.398
Sc F N B
1 2 1 1
Cartesian
0.000 0.000 0.000 Sc
2.001 0.000 0.000 F
0.000 2.001 0.000 F
0.000 0.000 2.199 N
2.001 2.001 2.199 B

---

Record 10
BSeN2F | Alexandria | PBE-GGA | optimized geometry; V = 17.79 A^3/atom; energy relative to the elements, uncorrected = 2.6511 eV per atom; electronic total energy = -15.43 eV per cell; N(E_F) = 1.71 states/eV per cell
1.0
-2.453 0.780 2.452
2.182 -1.165 2.553
2.700 6.469 0.644
B Se F N
1 1 1 2
Cartesian
1.214 3.042 2.824 B
1.350 3.234 0.322 Se
0.000 0.000 0.000 F
1.091 -0.582 1.277 N
-1.226 0.390 1.226 N

---

Record 11
BSe2NF | Alexandria | PBE-GGA | optimized geometry; V = 23.66 A^3/atom; energy relative to the elements, uncorrected = 0.1405 eV per atom; electronic total energy = -23.14 eV per cell; N(E_F) = 3.06 states/eV per cell
1.0
-2.446 -4.801 4.196
6.187 -0.702 2.805
-0.572 1.785 1.709
B F Se N
1 1 2 1
Cartesian
0.000 0.000 0.000 B
1.584 -1.858 4.355 F
-1.223 -2.400 2.098 Se
3.093 -0.351 1.402 Se
-0.286 0.893 0.855 N

---

Record 12
BSe2NF | Alexandria | PBE-GGA | optimized geometry; V = 15.69 A^3/atom; energy relative to the elements, uncorrected = 2.0657 eV per atom; electronic total energy = -13.51 eV per cell; N(E_F) = 2.60 states/eV per cell
1.0
-1.698 -4.101 -0.883
4.188 -1.714 -0.092
-0.212 -0.721 3.756
B Se N F
1 2 1 1
Cartesian
1.138 -3.268 1.390 B
-0.849 -2.051 -0.442 Se
2.094 -0.857 -0.046 Se
-0.106 -0.360 1.878 N
0.000 0.000 0.000 F

---

Record 13
BSeN2F | Alexandria | PBE-GGA | optimized geometry; V = 8.46 A^3/atom; energy relative to the elements, uncorrected = 0.8153 eV per atom; electronic total energy = -24.61 eV per cell; N(E_F) = 0.77 states/eV per cell
1.0
3.580 0.000 0.000
0.000 3.580 0.000
0.000 0.000 3.302
F B N Se
1 1 2 1
Cartesian
0.000 0.000 1.651 F
0.000 0.000 0.000 B
0.000 1.790 0.000 N
1.790 0.000 0.000 N
1.790 1.790 1.651 Se

---

Record 14
BSeN2F | Alexandria | PBE-GGA | optimized geometry; V = 12.17 A^3/atom; energy relative to the elements, uncorrected = 1.8261 eV per atom; electronic total energy = -19.55 eV per cell; N(E_F) = 1.23 states/eV per cell
1.0
3.759 0.000 0.000
0.000 3.759 0.000
0.000 0.000 4.305
N Se F B
2 1 1 1
Cartesian
1.880 0.000 0.000 N
0.000 1.880 0.000 N
0.000 0.000 0.000 Se
0.000 0.000 2.152 F
1.880 1.880 2.152 B

---

Record 15
BSeN2F | Alexandria | PBE-GGA | optimized geometry; V = 13.93 A^3/atom; energy relative to the elements, uncorrected = 0.8758 eV per atom; electronic total energy = -24.31 eV per cell; N(E_F) = 2.92 states/eV per cell
1.0
3.126 0.000 0.000
0.000 3.126 0.000
0.000 0.000 7.127
F N Se B
1 2 1 1
Cartesian
1.563 1.563 3.564 F
1.563 0.000 0.000 N
0.000 1.563 0.000 N
0.000 0.000 3.564 Se
0.000 0.000 0.000 B

---

Record 16
SiBN2F | Alexandria | PBE-GGA | optimized geometry; V = 10.70 A^3/atom; energy relative to the elements, uncorrected = 2.2808 eV per atom; electronic total energy = -19.22 eV per cell; N(E_F) = 1.85 states/eV per cell
1.0
-1.228 -2.547 3.305
2.665 -0.060 0.944
-0.780 3.524 2.427
B Si N F
1 1 2 1
Cartesian
1.333 -0.030 0.472 B
0.328 0.459 3.338 Si
-0.614 -1.274 1.652 N
-0.390 1.762 1.213 N
0.000 0.000 0.000 F

---

Record 17
SiBN2F | Alexandria | PBE-GGA | optimized geometry; V = 9.33 A^3/atom; energy relative to the elements, uncorrected = 0.5318 eV per atom; electronic total energy = -27.96 eV per cell; N(E_F) = 0.50 states/eV per cell
1.0
-2.843 -1.316 0.564
0.962 -2.684 -1.414
1.534 -1.580 4.044
N Si F B
2 1 1 1
Cartesian
0.481 -1.342 -0.707 N
-1.421 -0.658 0.282 N
-0.173 -2.790 1.597 Si
0.767 -0.790 2.022 F
0.000 0.000 0.000 B

---

Record 18
SiBN2F | Alexandria | PBE-GGA | optimized geometry; V = 9.05 A^3/atom; energy relative to the elements, uncorrected = 0.6398 eV per atom; electronic total energy = -27.42 eV per cell; N(E_F) = 2.36 states/eV per cell
1.0
-0.122 1.575 -3.242
3.043 -1.693 -0.937
-1.862 -2.669 -1.226
F B N Si
1 1 2 1
Cartesian
-0.931 -1.334 -0.613 F
0.529 -1.393 -2.703 B
1.522 -0.846 -0.469 N
-0.061 0.788 -1.621 N
0.000 0.000 0.000 Si

---

Record 19
SiBNF2 | Alexandria | PBE-GGA | optimized geometry; V = 10.08 A^3/atom; energy relative to the elements, uncorrected = -0.2604 eV per atom; electronic total energy = -25.47 eV per cell; N(E_F) = 0.10 states/eV per cell
1.0
-0.946 -0.444 3.712
-2.568 -2.706 -0.978
2.389 -2.384 0.324
N F B Si
1 2 1 1
Cartesian
1.194 -1.192 0.162 N
-0.473 -0.222 1.856 F
-1.284 -1.353 -0.489 F
-0.563 -2.767 1.529 B
0.000 0.000 0.000 Si

---

Record 20
SiBNF2 | Alexandria | PBE-GGA | optimized geometry; V = 10.50 A^3/atom; energy relative to the elements, uncorrected = -0.6222 eV per atom; electronic total energy = -27.28 eV per cell; N(E_F) = 2.65 states/eV per cell
1.0
-1.101 -3.216 2.835
-0.457 -2.822 -3.380
2.580 -0.686 0.224
B F Si N
1 2 1 1
Cartesian
0.000 0.000 0.000 B
-0.551 -1.608 1.417 F
-0.228 -1.411 -1.690 F
0.511 -3.362 -0.160 Si
1.290 -0.343 0.112 N